Material: CdHgPb2
Method: DFT, PBEsol
State: optimized geometry

Output
spin magnetization = 0.00 μB/f.u.
symmetry = P4/mmm
density = 11.64 g/cm3
energy above the lowest structure with this stoichiometry = 0.06 eV per formula unit
raw total energy = -2.41 eV per atom

Lattice parameters (Å, degrees): 3.3329 3.3329 9.3424 90.00 90.00 90.00
Last column: nearest neighbours and their distance in Å.
Fractional coordinates of all 4 atoms:
Cd1 0.5000 0.5000 0.0000  8 Pb 3.28, 4 Cd 3.33
Hg1 0.5000 0.5000 0.5000  4 Hg 3.33, 8 Pb 3.35
Pb1 0.0000 0.0000 0.7555  4 Cd 3.28, 4 Pb 3.33, 4 Hg 3.35
Pb2 0.0000 0.0000 0.2445  4 Cd 3.28, 4 Pb 3.33, 4 Hg 3.35